# MnAu2F

Crystalline MnAu2F at its relaxed geometry (GGA+U, Alexandria).

Results
Theoretical density, g cm⁻³: 11.82
Magnetic moment, μB/atom: 1.095
D(E_F), states/eV per cell: 5.6
Calculated volume, Å³ per atom: 16.4
Uncorrected energy, eV/f.u.: -17.1

CIF file:
```
data_MnAu2F
_chemical_formula_sum 'Mn4 Au8 F4'
_symmetry_space_group_name_H-M 'F m -3 m'
_symmetry_Int_Tables_number 225
_symmetry_space_group_name_Hall '-F 4 2 3'
_cell_length_a 6.406
_cell_length_b 6.406
_cell_length_c 6.406
_cell_angle_alpha 90.00
_cell_angle_beta 90.00
_cell_angle_gamma 90.00
loop_
_atom_site_label
_atom_site_type_symbol
_atom_site_fract_x
_atom_site_fract_y
_atom_site_fract_z
Mn1 Mn 0.000 0.000 0.000
Au1 Au 0.250 0.250 0.250
F1 F 0.000 0.000 0.500
```